Here is AlCrS2 after structural relaxation from Alexandria via LeMat-Bulk. Energies are from GGA-PBE.

Lattice parameters (Å, degrees): 7.586 7.586 7.586 26.62 26.62 26.62
Site moments in Bohr magnetons follow the coordinates.
Element x y z (fractional)
Al 0.500 0.500 0.500  0.03
S 0.893 0.893 0.893  -0.02
S 0.107 0.107 0.107  -0.02
Cr 0.000 0.000 0.000  3.79

Properties
For the density of states at the Fermi level, the calculation gives 1.1 states/eV/cell. For the magnetization, the calculation gives 4.5 μB per cell.

Here is AlCr2S4 after structural relaxation from Alexandria via LeMat-Bulk. Energies are from GGA-PBE.

Lattice parameters (Å, degrees): 7.086 7.086 7.083 59.99 59.99 90.01
Site moments in Bohr magnetons follow the coordinates.
Element x y z (fractional)
S 0.257 0.772 0.985  -0.06
S 0.728 0.243 0.515  -0.06
S 0.742 0.757 0.485  -0.06
S 0.258 0.243 0.515  -0.06
S 0.272 0.757 0.485  -0.06
S 0.743 0.758 0.015  -0.06
S 0.743 0.228 0.015  -0.06
S 0.257 0.242 0.985  -0.06
Cr 0.500 0.000 0.500  3.02
Cr 0.500 0.500 0.500  3.01
Cr 0.500 0.000 0.000  3.02
Cr 0.000 0.000 0.000  3.01
Al 0.875 0.625 0.750  0.03
Al 0.125 0.375 0.250  0.03

Properties
For the density of states at the Fermi level, the calculation gives 6.2 states/eV/cell. For the magnetization, the calculation gives 12.8 μB per cell.

Here is AlCrS3 after structural relaxation from Alexandria via LeMat-Bulk. Energies are from GGA-PBE.

Lattice parameters (Å, degrees): 4.586 4.586 4.586 90.00 90.00 90.00
Site moments in Bohr magnetons follow the coordinates.
Element x y z (fractional)
Cr 0.500 0.500 0.500  3.92
S 0.500 0.000 0.000  -0.22
S 0.000 0.500 0.000  -0.33
S 0.000 0.000 0.500  -0.23
Al 0.000 0.000 0.000  0.01

Properties
The polymorph energy (0 for the lowest one) comes out at 0.984 eV/atom. For the density of states at the Fermi level, the calculation gives 4.8 states/eV/cell. For the magnetization, the calculation gives 3.2 μB per cell.

Here is AlCrS2 after structural relaxation from Alexandria via LeMat-Bulk. Energies are from GGA-PBE.

Lattice parameters (Å, degrees): 5.618 5.618 6.598 64.80 64.80 90.00
Site moments in Bohr magnetons follow the coordinates.
Element x y z (fractional)
S 0.155 0.625 0.250  0.02
S 0.375 0.405 0.750  0.01
S 0.595 0.125 0.250  0.01
S 0.875 0.845 0.750  0.02
Cr 0.000 0.000 0.000  -4.02
Cr 0.750 0.250 0.500  -4.02
Al 0.500 0.500 0.000  -0.05
Al 0.250 0.750 0.500  -0.05

Properties
For the density of states at the Fermi level, the calculation gives 0.2 states/eV/cell. For the magnetization, the calculation gives 10.0 μB per cell.

| no. | formation energy without anion corrections (kJ per mole of atoms) |
| --- | --- |
| 1 | -44.4 |
| 2 | -74.4 |
| 3 | 10.2 |
| 4 | -55.0 |